NdB4Ru: relaxed, PBE.

Output
- Total DFT energy (no corrections): -0.26870 Ha/atom
- Energy of formation: -301 kJ/mol of formula units
- Density of states at the Fermi level: 4.507 states/eV/cell
- Crystal system: orthorhombic

Unit cell a=6.0621 b=11.7317 c=3.6405 alpha=90.00 beta=90.00 gamma=90.00
Last column: nearest neighbours and their distance in Å.
Fractional coordinates of all 24 atoms:
Nd 0.1268 0.1502 0.0000  14 B 2.71-2.83, 2 Ru 3.03-3.04
Nd 0.3732 0.6502 0.0000  14 B 2.71-2.83, 2 Ru 3.03-3.04
Nd 0.6268 0.3498 0.0000  14 B 2.71-2.83, 2 Ru 3.03-3.04
Nd 0.8732 0.8498 0.0000  14 B 2.71-2.83, 2 Ru 3.03-3.04
B 0.0246 0.6891 0.5000  3 B 1.76-1.89
B 0.1103 0.5453 0.5000  3 B 1.71-1.76
B 0.1396 0.9690 0.5000  3 B 1.76-1.85
B 0.2170 0.8162 0.5000  3 B 1.85-1.89
B 0.2830 0.3162 0.5000  3 B 1.85-1.89
B 0.3604 0.4690 0.5000  3 B 1.76-1.85
B 0.3897 0.0453 0.5000  3 B 1.71-1.76
B 0.4754 0.1891 0.5000  3 B 1.76-1.89
B 0.5246 0.8109 0.5000  3 B 1.76-1.89
B 0.6103 0.9547 0.5000  3 B 1.71-1.76
B 0.6396 0.5310 0.5000  3 B 1.76-1.85
B 0.7170 0.6838 0.5000  3 B 1.85-1.89
B 0.7830 0.1838 0.5000  3 B 1.85-1.89
B 0.8604 0.0310 0.5000  3 B 1.76-1.85
B 0.8897 0.4547 0.5000  3 B 1.71-1.76
B 0.9754 0.3109 0.5000  3 B 1.76-1.89
Ru 0.1383 0.4085 0.0000  10 B 2.29-2.43
Ru 0.3617 0.9085 0.0000  10 B 2.29-2.43
Ru 0.6383 0.0915 0.0000  10 B 2.29-2.43
Ru 0.8617 0.5915 0.0000  10 B 2.29-2.43